(1)
Material: Fe2SiRu
Method: DFT, GGA-PBEsol
State: optimized geometry

```
Fe2SiRu
1.0
-1.526 -1.689 -1.761
2.766 0.398 -2.779
1.931 -3.261 1.454
Ru Si Fe
1 1 2
direct
0.500 0.000 0.500
0.000 0.500 0.500
0.000 0.000 0.000
0.500 0.500 0.000
```

Summary:
The value obtained for the formation energy (no corrections) is -0.30 eV/atom. As for the symmetry: Pmmm, No. 47.

(2)
Material: Fe2SiRu
Method: DFT, GGA-PBEsol
State: optimized geometry

```
Fe2SiRu
1.0
-1.391 -0.382 2.545
-1.630 -3.365 -1.396
4.584 -0.183 0.796
Fe Ru Si
2 1 1
direct
0.992 0.992 0.984
0.742 0.242 0.485
0.509 0.509 0.017
0.257 0.757 0.514
```

Summary:
The value obtained for the formation energy (no corrections) is -0.19 eV/atom. As for the symmetry: Imm2, No. 44.

(3)
Material: FeSi4Ru
Method: DFT, GGA-PBEsol
State: optimized geometry

```
FeSi4Ru
1.0
4.741 0.000 0.000
2.370 4.106 0.000
2.370 1.369 3.871
Fe Ru Si
1 1 4
direct
0.250 0.250 0.250
0.000 0.000 0.000
0.625 0.625 0.125
0.125 0.625 0.625
0.625 0.125 0.625
0.625 0.625 0.625
```

Summary:
The value obtained for the formation energy (no corrections) is 0.40 eV/atom. As for the symmetry: F-43m, No. 216.

(4)
Material: Sm2Fe3Ru
Method: DFT, GGA-PBEsol
State: optimized geometry

```
Sm2Fe3Ru
1.0
-3.346 1.527 -3.545
-4.950 0.439 1.181
-2.128 4.736 0.367
Sm Fe Ru
2 3 1
direct
0.125 0.125 0.625
0.875 0.875 0.375
0.500 0.500 0.000
0.500 0.000 0.000
0.000 0.500 0.000
0.500 0.500 0.500
```

Summary:
As for the symmetry: R-3m, No. 166. The value obtained for the calculated formation energy is -0.041 eV/atom.